Entry 1:
VASP calculation (PBE-GGA) on a relaxed CoSiP3 crystal.

Calculated values
The value obtained for the total energy is -25.15 eV for the cell shown. Its magnetization is 0.00 μB/f.u. The energy above the lowest structure with this stoichiometry comes out at 0.00 kcal/mol of atoms. As for the uncorrected formation energy: 70 kJ/mol of atoms. Its density is 3.64 Mg/m³.

a = 4.344 Å, b = 4.344 Å, c = 4.344 Å
α = 90.00°, β = 90.00°, γ = 90.00°
Fractional coordinates of all 5 atoms:
P: 0.500 0.000 0.000
P: 0.000 0.500 0.000
P: 0.000 0.000 0.500
Si: 0.500 0.500 0.500
Co: 0.000 0.000 0.000

Entry 2:
VASP calculation (PBE-GGA) on a relaxed CoSiP2 crystal.

Calculated values
The value obtained for the total energy is -22.53 eV for the cell shown. Its magnetization is 0.31 μB/f.u. As for the uncorrected formation energy: 20 kJ/mol of atoms. Its density is 4.49 Mg/m³.

a = 8.459 Å, b = 8.459 Å, c = 8.459 Å
α = 18.83°, β = 18.83°, γ = 18.83°
Site moments in Bohr magnetons follow the coordinates.
Fractional coordinates of all 4 atoms:
Co: 0.250 0.250 0.250  0.28
P: 0.983 0.983 0.983  0.01
P: 0.517 0.517 0.517  0.01
Si: 0.750 0.750 0.750  0.00